(1)
An optimized crystal structure of LaPrP2Ir2N2, computed with PBE.

The structure in POSCAR format:
```
LaPrP2Ir2N2
1.0
4.038 0.000 0.000
0.000 4.038 0.000
0.000 0.000 8.825
La Pr P Ir N
1 1 2 2 2
direct
0.000 0.000 0.000
0.500 0.500 0.728
0.000 0.000 0.512
0.500 0.500 0.224
0.000 0.500 0.368
0.500 0.000 0.368
0.000 0.500 0.864
0.500 0.000 0.864
```

Properties
Space group ... No. 99
Total DFT energy (no corrections) ... -0.28176 hartree per atom
Magnetization ... 0.107 μB per atom

***

(2)
An optimized crystal structure of NaLaIr, computed with PBE.

The structure in POSCAR format:
```
NaLaIr
1.0
0.000 3.401 3.401
3.401 0.000 3.401
3.401 3.401 0.000
Na La Ir
1 1 1
direct
0.000 0.000 0.000
0.750 0.750 0.750
0.500 0.500 0.500
```

Properties
Space group ... No. 216
ΔE to the lowest computed polymorph ... 426 meV/atom
Magnetization ... 0.000 μB per atom